Model w:
Computed, not measured: Pm2InSb after structural relaxation at the PBE-GGA level of DFT.

The structure in POSCAR format:
```
Pm2InSb
1.0
7.731 0.000 0.000
0.000 7.731 0.000
0.000 0.000 7.731
Pm In Sb
8 4 4
Direct
0.250 0.250 0.250
0.250 0.250 0.750
0.250 0.750 0.250
0.250 0.750 0.750
0.750 0.250 0.250
0.750 0.250 0.750
0.750 0.750 0.250
0.750 0.750 0.750
0.000 0.000 0.000
0.000 0.500 0.500
0.500 0.000 0.500
0.500 0.500 0.000
0.000 0.000 0.500
0.000 0.500 0.000
0.500 0.000 0.000
0.500 0.500 0.500
```

Properties
As for the symmetry: No. 225. The density of states at the Fermi level comes out at 18.22 states/eV per cell. The value obtained for the spin magnetization is 0.001 μB/f.u.

Model x:
Computed, not measured: Pm2InSb after structural relaxation at the PBE-GGA level of DFT.

The structure in POSCAR format:
```
Pm2InSb
1.0
4.053 0.000 0.000
0.000 4.053 0.000
0.000 0.000 6.958
Pm In Sb
2 1 1
Direct
0.000 0.000 0.241
0.000 0.000 0.759
0.500 0.500 0.500
0.500 0.500 0.000
```

Properties
As for the symmetry: No. 123. The density of states at the Fermi level comes out at 2.52 states/eV per cell. The value obtained for the spin magnetization is 0.000 μB/f.u.

Model y:
Computed, not measured: Pm2InSb after structural relaxation at the PBE-GGA level of DFT.

The structure in POSCAR format:
```
Pm2InSb
1.0
4.588 0.000 0.000
0.000 24.704 0.000
0.000 0.000 4.458
Pm In Sb
8 4 4
Direct
0.000 0.064 0.250
0.000 0.316 0.250
0.000 0.684 0.750
0.000 0.936 0.750
0.500 0.184 0.750
0.500 0.436 0.750
0.500 0.564 0.250
0.500 0.816 0.250
0.000 0.459 0.250
0.000 0.541 0.750
0.500 0.041 0.750
0.500 0.959 0.250
0.000 0.189 0.250
0.000 0.811 0.750
0.500 0.311 0.750
0.500 0.689 0.250
```

Properties
As for the symmetry: No. 63. The density of states at the Fermi level comes out at 9.20 states/eV per cell. The value obtained for the spin magnetization is 0.000 μB/f.u.

Model z:
Computed, not measured: Pm2InSb after structural relaxation at the PBE-GGA level of DFT.

The structure in POSCAR format:
```
Pm2InSb
1.0
5.092 0.000 0.000
-2.546 4.410 0.000
0.000 0.000 15.971
Pm In Sb
6 3 3
Direct
0.000 0.000 0.248
0.000 0.000 0.752
0.333 0.667 0.419
0.333 0.667 0.915
0.667 0.333 0.085
0.667 0.333 0.581
0.000 0.000 0.000
0.333 0.667 0.667
0.667 0.333 0.333
0.000 0.000 0.500
0.333 0.667 0.167
0.667 0.333 0.833
```

Properties
As for the symmetry: No. 166. The density of states at the Fermi level comes out at 7.39 states/eV per cell. The value obtained for the spin magnetization is 0.000 μB/f.u.

It is model y that is the most stable of them.

Model w:
Computed, not measured: PmIn2Sb after structural relaxation at the PBE-GGA level of DFT.

The structure in POSCAR format:
```
PmIn2Sb
1.0
4.660 0.000 0.000
0.000 4.660 0.000
0.000 0.000 4.936
Pm In Sb
1 2 1
Direct
0.000 0.000 0.000
0.000 0.500 0.500
0.500 0.000 0.500
0.500 0.500 0.000
```

Properties
As for the symmetry: No. 123. The density of states at the Fermi level comes out at 2.47 states/eV per cell. The value obtained for the spin magnetization is 0.000 μB/f.u.

Model x:
Computed, not measured: PmIn2Sb after structural relaxation at the PBE-GGA level of DFT.

The structure in POSCAR format:
```
PmIn2Sb
1.0
3.560 0.000 0.000
-1.780 3.083 0.000
0.000 0.000 33.919
Pm In Sb
3 6 3
Direct
0.000 0.000 0.000
0.333 0.667 0.667
0.667 0.333 0.333
0.000 0.000 0.094
0.000 0.000 0.906
0.333 0.667 0.572
0.333 0.667 0.761
0.667 0.333 0.239
0.667 0.333 0.428
0.000 0.000 0.500
0.333 0.667 0.167
0.667 0.333 0.833
```

Properties
As for the symmetry: No. 166. The density of states at the Fermi level comes out at 10.31 states/eV per cell. The value obtained for the spin magnetization is 0.000 μB/f.u.

It is model w that is the most stable of them.

Model w:
Computed, not measured: PmSc2In2 after structural relaxation at the PBE-GGA level of DFT.

The structure in POSCAR format:
```
PmSc2In2
1.0
-2.247 2.247 13.459
2.247 -2.247 13.459
2.247 2.247 -13.459
Pm Sc In
2 4 4
Direct
0.128 0.128 0.000
0.872 0.872 0.000
0.250 0.750 0.500
0.428 0.428 0.000
0.572 0.572 0.000
0.750 0.250 0.500
0.000 0.500 0.500
0.324 0.324 0.000
0.500 0.000 0.500
0.676 0.676 0.000
```

Properties
As for the symmetry: No. 139. The density of states at the Fermi level comes out at 10.20 states/eV per cell. The value obtained for the spin magnetization is 0.003 μB/f.u.

Model x:
Computed, not measured: PmSc2In2 after structural relaxation at the PBE-GGA level of DFT.

The structure in POSCAR format:
```
PmSc2In2
1.0
5.301 0.000 0.000
0.000 7.969 0.000
0.000 0.000 6.563
Pm Sc In
2 4 4
Direct
0.000 0.000 0.000
0.500 0.500 0.000
0.000 0.171 0.500
0.000 0.829 0.500
0.500 0.329 0.500
0.500 0.671 0.500
0.000 0.500 0.269
0.000 0.500 0.731
0.500 0.000 0.269
0.500 0.000 0.731
```

Properties
As for the symmetry: No. 65. The density of states at the Fermi level comes out at 9.52 states/eV per cell. The value obtained for the spin magnetization is 0.026 μB/f.u.

It is model w that is the most stable of them.

Model w:
Computed, not measured: PmSc3In after structural relaxation at the PBE-GGA level of DFT.

The structure in POSCAR format:
```
PmSc3In
1.0
5.121 0.000 0.000
0.000 7.665 0.000
0.000 0.000 6.763
Pm Sc In
2 6 2
Direct
0.250 0.250 0.207
0.750 0.750 0.793
0.250 0.060 0.730
0.250 0.440 0.730
0.250 0.750 0.059
0.750 0.250 0.941
0.750 0.560 0.270
0.750 0.940 0.270
0.250 0.750 0.471
0.750 0.250 0.529
```

Properties
As for the symmetry: No. 59. The density of states at the Fermi level comes out at 10.40 states/eV per cell. The value obtained for the spin magnetization is 0.000 μB/f.u.

Model x:
Computed, not measured: PmSc3In after structural relaxation at the PBE-GGA level of DFT.

The structure in POSCAR format:
```
PmSc3In
1.0
7.465 0.000 0.000
-3.733 6.465 0.000
0.000 0.000 5.842
Pm Sc In
2 6 2
Direct
0.333 0.667 0.250
0.667 0.333 0.750
0.196 0.392 0.750
0.196 0.804 0.750
0.392 0.196 0.250
0.608 0.804 0.750
0.804 0.196 0.250
0.804 0.608 0.250
0.000 0.000 0.000
0.000 0.000 0.500
```

Properties
As for the symmetry: No. 194. The density of states at the Fermi level comes out at 15.64 states/eV per cell. The value obtained for the spin magnetization is 0.000 μB/f.u.

It is model w that is the most stable of them.

Model w:
Computed, not measured: Pm4ScIn after structural relaxation at the PBE-GGA level of DFT.

The structure in POSCAR format:
```
Pm4ScIn
1.0
9.327 0.000 0.000
0.000 5.391 0.000
-3.148 0.000 8.437
Pm Sc In
8 2 2
Direct
0.124 0.000 0.373
0.130 0.500 0.889
0.370 0.000 0.111
0.376 0.500 0.627
0.624 0.500 0.373
0.630 0.000 0.889
0.870 0.500 0.111
0.876 0.000 0.627
0.000 0.000 0.000
0.500 0.500 0.000
0.000 0.500 0.500
0.500 0.000 0.500
```

Properties
As for the symmetry: No. 12. The density of states at the Fermi level comes out at 14.63 states/eV per cell. The value obtained for the spin magnetization is 0.000 μB/f.u.

Model x:
Computed, not measured: Pm4ScIn after structural relaxation at the PBE-GGA level of DFT.

The structure in POSCAR format:
```
Pm4ScIn
1.0
3.488 0.000 0.000
0.000 5.738 0.000
0.000 0.000 9.584
Pm Sc In
4 1 1
Direct
0.000 0.000 0.184
0.000 0.000 0.816
0.500 0.500 0.309
0.500 0.500 0.691
0.500 0.000 0.500
0.000 0.500 0.000
```

Properties
As for the symmetry: No. 47. The density of states at the Fermi level comes out at 8.57 states/eV per cell. The value obtained for the spin magnetization is 0.000 μB/f.u.

It is model x that is the most stable of them.

Model w:
Computed, not measured: TbPmScIn after structural relaxation at the PBE-GGA level of DFT.

The structure in POSCAR format:
```
TbPmScIn
1.0
7.641 0.000 0.000
0.000 7.641 0.000
0.000 0.000 7.641
Tb Pm Sc In
4 4 4 4
Direct
0.000 0.000 0.000
0.000 0.500 0.500
0.500 0.000 0.500
0.500 0.500 0.000
0.000 0.000 0.500
0.000 0.500 0.000
0.500 0.000 0.000
0.500 0.500 0.500
0.250 0.250 0.750
0.250 0.750 0.250
0.750 0.250 0.250
0.750 0.750 0.750
0.250 0.250 0.250
0.250 0.750 0.750
0.750 0.250 0.750
0.750 0.750 0.250
```

Properties
As for the symmetry: No. 216. The density of states at the Fermi level comes out at 21.51 states/eV per cell. The value obtained for the spin magnetization is 1.148 μB/f.u.

Model x:
Computed, not measured: TbPmScIn after structural relaxation at the PBE-GGA level of DFT.

The structure in POSCAR format:
```
TbPmScIn
1.0
7.592 0.000 0.000
0.000 7.592 0.000
0.000 0.000 7.592
Tb Pm Sc In
4 4 4 4
Direct
0.000 0.000 0.000
0.000 0.500 0.500
0.500 0.000 0.500
0.500 0.500 0.000
0.250 0.250 0.750
0.250 0.750 0.250
0.750 0.250 0.250
0.750 0.750 0.750
0.000 0.000 0.500
0.000 0.500 0.000
0.500 0.000 0.000
0.500 0.500 0.500
0.250 0.250 0.250
0.250 0.750 0.750
0.750 0.250 0.750
0.750 0.750 0.250
```

Properties
As for the symmetry: No. 216. The density of states at the Fermi level comes out at 22.97 states/eV per cell. The value obtained for the spin magnetization is 1.584 μB/f.u.

It is model w that is the most stable of them.